{"formula": "Sm2BiPt", "functional": "GGA-PBE", "state": "relaxed", "lattice_angstrom": [[2.187, 1.263, 7.121], [-2.187, 1.263, 7.121], [0.000, -2.525, 7.121]], "species": ["Sm", "Sm", "Bi", "Pt"], "frac_coords": [[0.239, 0.239, 0.239], [0.761, 0.761, 0.761], [0.000, 0.000, 0.000], [0.500, 0.500, 0.500]], "e_form_ev_per_atom": -0.90, "m_tot_mub_per_cell": 0.00, "sg": "No. 166", "final_energy_ev_per_atom": -5.74, "vol_a3_per_atom": 29.5}